[1]
A plane-wave DFT calculation with PBE was carried out for a geometry-optimized CsRb2BaCl structure.

The space group is P4/mmm (No. 123) and the conventional cell measures 7.6569, 7.6569 and 6.1374 Å, with angles of 90.00, 90.00 and 90.00 degrees. The asymmetric unit holds Cs at (0.0000, 0.0000, 0.0000), Rb at (0.0000, 0.5000, 0.5000), Ba at (0.5000, 0.5000, 0.0000) and Cl at (0.5000, 0.5000, 0.5000).

As for the magnetic moment: 0.00 μB/f.u. The value obtained for the polymorph energy (0 for the lowest one) is 0 meV/atom.

***

[2]
A plane-wave DFT calculation with PBE was carried out for a geometry-optimized CoSn2HgBr structure.

The space group is P4/mmm (No. 123) and the conventional cell measures 4.8997, 4.8997 and 5.1812 Å, with angles of 90.00, 90.00 and 90.00 degrees. The asymmetric unit holds Co at (0.0000, 0.0000, 0.0000), Sn at (0.0000, 0.5000, 0.0000), Hg at (0.0000, 0.0000, 0.5000) and Br at (0.5000, 0.5000, 0.5000).

For the total energy, the calculation gives -3.56 eV/atom. As for the magnetic moment: 0.00 μB/f.u.

***

[3]
A plane-wave DFT calculation with PBE was carried out for a geometry-optimized PaPdBr6 structure.

The space group is P-1 (No. 2) and the conventional cell measures 6.3573, 7.3143 and 7.9690 Å, with angles of 113.65, 110.74 and 94.33 degrees. The asymmetric unit holds Pa at (0.0000, 0.0000, 0.0000), Pd at (0.5000, 0.5000, 0.0000), Br at (0.1514, 0.6456, 0.8668), Br at (0.2088, 0.1460, 0.8090) and Br at (0.3813, 0.1848, 0.3482).

As for the magnetic moment: 1.03 μB/f.u. The value obtained for the polymorph energy (0 for the lowest one) is 53 meV/atom.

***

[4]
A plane-wave DFT calculation with PBE was carried out for a geometry-optimized Sm3NbCl2O6 structure.

The space group is C2/m (No. 12) and the conventional cell measures 11.7484, 6.6964 and 5.6144 Å, with angles of 90.00, 100.25 and 90.00 degrees. The asymmetric unit holds Sm at (0.0000, 0.0000, 0.0000), Sm at (0.2500, 0.2500, 0.5000), Nb at (0.0000, 0.5000, 0.5000), Cl at (0.2087, 0.0000, 0.8561), O at (0.0573, 0.2653, 0.2983) and O at (0.1651, 0.5000, 0.6700).

For the total energy, the calculation gives -7.47 eV/atom. As for the magnetic moment: 0.00 μB/f.u.

***

[5]
A plane-wave DFT calculation with PBE was carried out for a geometry-optimized ErBiPtO6 structure.

The space group is P-31c (No. 163) and the conventional cell measures 5.4891, 5.4891 and 9.4144 Å, with angles of 90.00, 90.00 and 120.00 degrees. The asymmetric unit holds Er at (0.3333, 0.6667, 0.2500), Bi at (0.0000, 0.0000, 0.0000), Pt at (0.3333, 0.6667, 0.7500) and O at (0.0288, 0.3632, 0.6296).

For the total energy, the calculation gives -6.35 eV/atom. As for the magnetic moment: 0.00 μB/f.u.

***

[6]
A plane-wave DFT calculation with PBE was carried out for a geometry-optimized Pr2HoC2Br2 structure.

The space group is I4/mmm (No. 139) and the conventional cell measures 4.5503, 4.5503 and 15.7407 Å, with angles of 90.00, 90.00 and 90.00 degrees. The asymmetric unit holds Pr at (0.0000, 0.0000, 0.1007), Ho at (0.0000, 0.0000, 0.5000), C at (0.0000, 0.5000, 0.0000) and Br at (0.0000, 0.0000, 0.3107).

For the total energy, the calculation gives -5.79 eV/atom. As for the magnetic moment: 0.00 μB/f.u.

***

[7]
A plane-wave DFT calculation with PBE was carried out for a geometry-optimized CoSbAs2 structure.

The space group is I-4m2 (No. 119) and the conventional cell measures 4.4143, 4.4143 and 7.5010 Å, with angles of 90.00, 90.00 and 90.00 degrees. The asymmetric unit holds Co at (0.0000, 0.0000, 0.0000), Sb at (0.0000, 0.5000, 0.7500), As at (0.0000, 0.0000, 0.5000) and As at (0.0000, 0.5000, 0.2500).

For the total energy, the calculation gives -4.63 eV/atom. As for the magnetic moment: 0.89 μB/f.u.

***

[8]
A plane-wave DFT calculation with PBE was carried out for a geometry-optimized LaPu4Sb5 structure.

The space group is C2/m (No. 12) and the conventional cell measures 14.7879, 4.4721 and 10.9251 Å, with angles of 90.00, 119.44 and 90.00 degrees. The asymmetric unit holds La at (0.0000, 0.0000, 0.0000), Pu at (0.0969, 0.5000, 0.3979), Pu at (0.2019, 0.0000, 0.7956), Sb at (0.0000, 0.0000, 0.5000), Sb at (0.1067, 0.5000, 0.8970) and Sb at (0.2025, 0.0000, 0.3081).

For the total energy, the calculation gives -9.00 eV/atom. As for the magnetic moment: 20.10 μB/f.u.

***

[9]
A plane-wave DFT calculation with PBE was carried out for a geometry-optimized BaCd3Pd structure.

The space group is Pm-3m (No. 221) and the conventional cell measures 6.3928, 6.3928 and 6.3928 Å, with angles of 90.00, 90.00 and 90.00 degrees. The asymmetric unit holds Ba at (0.0000, 0.0000, 0.0000), Cd at (0.0000, 0.0000, 0.5000) and Pd at (0.5000, 0.5000, 0.5000).

The calculation puts the formation energy at 1014 meV per atom. As for the magnetic moment: 0.00 μB/f.u. The value obtained for the polymorph energy (0 for the lowest one) is 1386 meV/atom.

***

[10]
A plane-wave DFT calculation with PBE was carried out for a geometry-optimized NaAl3Ge structure.

The space group is Pm-3m (No. 221) and the conventional cell measures 5.0659, 5.0659 and 5.0659 Å, with angles of 90.00, 90.00 and 90.00 degrees. The asymmetric unit holds Na at (0.0000, 0.0000, 0.0000), Al at (0.0000, 0.0000, 0.5000) and Ge at (0.5000, 0.5000, 0.5000).

The calculation puts the formation energy at 1194 meV per atom. As for the magnetic moment: 0.00 μB/f.u. The value obtained for the polymorph energy (0 for the lowest one) is 664 meV/atom.

***

[11]
A plane-wave DFT calculation with PBE was carried out for a geometry-optimized Nd2CdTc structure.

The space group is P4/mmm (No. 123) and the conventional cell measures 3.5929, 3.5929 and 7.9105 Å, with angles of 90.00, 90.00 and 90.00 degrees. The asymmetric unit holds Nd at (0.0000, 0.0000, 0.2140), Cd at (0.5000, 0.5000, 0.5000) and Tc at (0.5000, 0.5000, 0.0000).

The calculation puts the formation energy at -55 meV per atom. As for the magnetic moment: 0.00 μB/f.u.

***

[12]
A plane-wave DFT calculation with PBE was carried out for a geometry-optimized Np2Se2O structure.

The space group is Ibam (No. 72) and the conventional cell measures 6.3015, 11.6032 and 5.8276 Å, with angles of 90.00, 90.00 and 90.00 degrees. The asymmetric unit holds Np at (0.2060, 0.1052, 0.0000), Se at (0.1703, 0.3539, 0.0000) and O at (0.0000, 0.0000, 0.2500).

As for the magnetic moment: 7.95 μB/f.u. The value obtained for the polymorph energy (0 for the lowest one) is 0 meV/atom.

***

[13]
A plane-wave DFT calculation with PBE was carried out for a geometry-optimized Ce2YPu structure.

The space group is P4/mmm (No. 123) and the conventional cell measures 4.8948, 4.8948 and 4.7374 Å, with angles of 90.00, 90.00 and 90.00 degrees. The asymmetric unit holds Ce at (0.0000, 0.5000, 0.0000), Y at (0.0000, 0.0000, 0.5000) and Pu at (0.5000, 0.5000, 0.5000).

The calculation puts the formation energy at 139 meV per atom. As for the magnetic moment: 7.17 μB/f.u. The value obtained for the polymorph energy (0 for the lowest one) is 23 meV/atom.

***

[14]
A plane-wave DFT calculation with PBE was carried out for a geometry-optimized La2DyAg structure.

The space group is Fm-3m (No. 225) and the conventional cell measures 7.8773, 7.8773 and 7.8773 Å, with angles of 90.00, 90.00 and 90.00 degrees. The asymmetric unit holds La at (0.2500, 0.2500, 0.2500), Dy at (0.0000, 0.0000, 0.0000) and Ag at (0.0000, 0.0000, 0.5000).

The calculation puts the formation energy at 43 meV per atom. As for the magnetic moment: 0.00 μB/f.u. The value obtained for the polymorph energy (0 for the lowest one) is 165 meV/atom.

***

[15]
A plane-wave DFT calculation with PBE was carried out for a geometry-optimized LaSc2InRu structure.

The space group is P4/mmm (No. 123) and the conventional cell measures 4.9592, 4.9592 and 5.3036 Å, with angles of 90.00, 90.00 and 90.00 degrees. The asymmetric unit holds La at (0.0000, 0.0000, 0.0000), Sc at (0.0000, 0.5000, 0.5000), In at (0.5000, 0.5000, 0.0000) and Ru at (0.5000, 0.5000, 0.5000).

The calculation puts the formation energy at -261 meV per atom. As for the magnetic moment: 0.00 μB/f.u.

***

[16]
A plane-wave DFT calculation with PBE was carried out for a geometry-optimized MnHg2Os structure.

The space group is Cmm2 (No. 35) and the conventional cell measures 3.0441, 4.9147 and 9.7512 Å, with angles of 90.00, 90.00 and 90.00 degrees. The asymmetric unit holds Mn at (0.0000, 0.0000, 0.0000), Hg at (0.0000, 0.0000, 0.5418), Hg at (0.0000, 0.5000, 0.2468) and Os at (0.0000, 0.5000, 0.8045).

The calculation puts the formation energy at 540 meV per atom. As for the magnetic moment: 3.19 μB/f.u. The value obtained for the polymorph energy (0 for the lowest one) is 161 meV/atom.

***

[17]
A plane-wave DFT calculation with PBE was carried out for a geometry-optimized Ga2TeW4 structure.

The space group is I4/mmm (No. 139) and the conventional cell measures 4.8356, 4.8356 and 12.9882 Å, with angles of 90.00, 90.00 and 90.00 degrees. The asymmetric unit holds Ga at (0.0000, 0.0000, 0.1110), Te at (0.0000, 0.0000, 0.5000), W at (0.0000, 0.0000, 0.3015) and W at (0.0000, 0.5000, 0.0000).

For the total energy, the calculation gives -6.58 eV/atom. As for the magnetic moment: 0.01 μB/f.u.

***

[18]
A plane-wave DFT calculation with PBE was carried out for a geometry-optimized AcPuNiSb structure.

The space group is F-43m (No. 216) and the conventional cell measures 7.5893, 7.5893 and 7.5893 Å, with angles of 90.00, 90.00 and 90.00 degrees. The asymmetric unit holds Ac at (0.0000, 0.0000, 0.0000), Pu at (0.0000, 0.0000, 0.5000), Ni at (0.2500, 0.2500, 0.2500) and Sb at (0.2500, 0.2500, 0.7500).

For the total energy, the calculation gives -7.33 eV/atom. As for the magnetic moment: 6.00 μB/f.u.

***

[19]
A plane-wave DFT calculation with PBE was carried out for a geometry-optimized Nd2NbTcN5 structure.

The space group is Cmc2_1 (No. 36) and the conventional cell measures 3.3413, 13.5329 and 10.5453 Å, with angles of 90.00, 90.00 and 90.00 degrees. The asymmetric unit holds Nd at (0.0000, 0.1108, 0.0000), Nd at (0.0000, 0.1448, 0.5976), Nb at (0.0000, 0.2210, 0.3132), Tc at (0.0000, 0.4753, 0.7629), N at (0.0000, 0.0442, 0.3449), N at (0.0000, 0.2840, 0.9466), N at (0.0000, 0.3204, 0.6811), N at (0.0000, 0.3645, 0.3007) and N at (0.0000, 0.4900, 0.0873).

For the total energy, the calculation gives -8.86 eV/atom. As for the magnetic moment: 0.00 μB/f.u.

***

[20]
A plane-wave DFT calculation with PBE was carried out for a geometry-optimized PrHoCuNi structure.

The space group is Amm2 (No. 38) and the conventional cell measures 4.4396, 3.7998 and 10.4170 Å, with angles of 90.00, 90.00 and 90.00 degrees. The asymmetric unit holds Pr at (0.0000, 0.0000, 0.0000), Ho at (0.5000, 0.0000, 0.7212), Cu at (0.5000, 0.0000, 0.4246) and Ni at (0.0000, 0.0000, 0.2856).

The calculation puts the formation energy at -282 meV per atom. As for the magnetic moment: 0.00 μB/f.u. The value obtained for the polymorph energy (0 for the lowest one) is 0 meV/atom.

***

Looking at DOS at the Fermi energy for the records above, in order, we have 3.94, 1.29, 0.38, 0.00, 10.31, 2.02, 5.33, 103.83, 5.25, 3.20, 3.51, 55.72, 10.08, 13.66, 2.93, 5.82, 19.57, 53.85, 12.48, 7.02 states/eV per cell.